# Sb3Se (PBE, optimized geometry)
data_Sb3Se
_space_group_name_H-M_alt 'P 1'
_space_group_IT_number 1
_space_group_name_Hall 'P 1'
_cell_length_a 5.504
_cell_length_b 5.504
_cell_length_c 5.504
_cell_angle_alpha 90.00
_cell_angle_beta 90.00
_cell_angle_gamma 90.00
loop_
_atom_site_label
_atom_site_fract_x
_atom_site_fract_y
_atom_site_fract_z
Sb1 0.000 0.000 0.500
Sb2 0.000 0.500 0.000
Sb3 0.500 0.000 0.000
Se1 0.000 0.000 0.000
# Symmetry ... Pm-3m, No. 221
# Calculated density ... 4.42 g cm⁻³
# ΔE to the lowest computed polymorph ... 0.8926 eV/atom
# Total energy ... -0.113 Ha/atom

=====

# Sb2Se (PBE, optimized geometry)
data_Sb2Se
_space_group_name_H-M_alt 'P 1'
_space_group_IT_number 1
_space_group_name_Hall 'P 1'
_cell_length_a 4.220
_cell_length_b 6.136
_cell_length_c 7.221
_cell_angle_alpha 90.00
_cell_angle_beta 73.37
_cell_angle_gamma 89.89
loop_
_atom_site_label
_atom_site_fract_x
_atom_site_fract_y
_atom_site_fract_z
Sb1 0.000 0.000 0.000
Sb2 0.007 0.498 0.000
Sb3 0.343 0.553 0.327
Sb4 0.670 0.553 0.672
Se1 0.362 0.987 0.289
Se2 0.647 0.987 0.711
# Symmetry ... P1, No. 1
# Calculated density ... 5.98 g cm⁻³
# Total energy ... -0.146 Ha/atom

=====

# Sb2Se (PBE, optimized geometry)
data_Sb2Se
_space_group_name_H-M_alt 'P 1'
_space_group_IT_number 1
_space_group_name_Hall 'P 1'
_cell_length_a 7.168
_cell_length_b 7.168
_cell_length_c 6.197
_cell_angle_alpha 97.33
_cell_angle_beta 97.33
_cell_angle_gamma 34.68
loop_
_atom_site_label
_atom_site_fract_x
_atom_site_fract_y
_atom_site_fract_z
Sb1 0.000 0.000 0.000
Sb2 0.000 0.000 0.500
Sb3 0.335 0.335 0.510
Sb4 0.665 0.665 0.490
Se1 0.354 0.354 0.940
Se2 0.646 0.646 0.060
# Symmetry ... C2/m, No. 12
# Calculated density ... 5.97 g cm⁻³
# Total energy ... -0.146 Ha/atom

=====

# Sb2Se (PBE, optimized geometry)
data_Sb2Se
_space_group_name_H-M_alt 'P 1'
_space_group_IT_number 1
_space_group_name_Hall 'P 1'
_cell_length_a 4.936
_cell_length_b 4.936
_cell_length_c 7.975
_cell_angle_alpha 90.00
_cell_angle_beta 90.00
_cell_angle_gamma 120.00
loop_
_atom_site_label
_atom_site_fract_x
_atom_site_fract_y
_atom_site_fract_z
Sb1 0.333 0.667 0.067
Sb2 0.333 0.667 0.433
Sb3 0.667 0.333 0.567
Sb4 0.667 0.333 0.933
Se1 0.000 0.000 0.250
Se2 0.000 0.000 0.750
# Symmetry ... P6_3/mmc, No. 194
# Calculated density ... 6.36 g cm⁻³
# Total energy ... -0.139 Ha/atom